1.
First-principles (PBE-GGA) data for an optimized crystal structure of TmTh2Bi, as listed in Alexandria.

Cell lengths 4.759, 4.759, 5.260 Å; angles 90.00, 90.00, 90.00 degrees
Fractional positions:
Tm 0.000 0.000 0.000
Th 0.000 0.500 0.500
Th 0.500 0.000 0.500
Bi 0.500 0.500 0.000

Calculated values
mass density	11735	kg/m3
DFT formation energy	-27	kJ/mol of atoms
excess energy over the best structure of this formula in the dataset	0.0	meV per atom
energy	-24.3	eV/cell
spin magnetization	0.00	μB per atom


2.
First-principles (PBE-GGA) data for an optimized crystal structure of TmTh2Bi3, as listed in Alexandria.

Cell lengths 7.889, 7.889, 7.889 Å; angles 146.65, 131.81, 59.86 degrees
Fractional positions:
Tm 0.000 0.000 0.000
Th 0.331 0.331 0.000
Th 0.669 0.669 0.000
Bi 0.159 0.659 0.500
Bi 0.500 0.000 0.500
Bi 0.841 0.341 0.500

Calculated values
mass density	10496	kg/m3
DFT formation energy	-60	kJ/mol of atoms
energy	-34.7	eV/cell
spin magnetization	0.00	μB per atom


3.
First-principles (PBE-GGA) data for an optimized crystal structure of Tm2Th2Bi3, as listed in Alexandria.

Cell lengths 7.536, 7.536, 7.606 Å; angles 98.00, 98.00, 33.18 degrees
Fractional positions:
Tm 0.123 0.123 0.357
Tm 0.877 0.877 0.643
Th 0.395 0.395 0.096
Th 0.605 0.605 0.904
Bi 0.236 0.236 0.743
Bi 0.500 0.500 0.500
Bi 0.764 0.764 0.257

Calculated values
mass density	10146	kg/m3
DFT formation energy	-36	kJ/mol of atoms
energy	-38.1	eV/cell
spin magnetization	0.11	μB per atom


4.
First-principles (PBE-GGA) data for an optimized crystal structure of Tm2ThBi, as listed in Alexandria.

Cell lengths 11.087, 11.087, 11.087 Å; angles 18.62, 18.62, 18.62 degrees
Fractional positions:
Tm 0.000 0.000 0.000
Tm 0.175 0.175 0.175
Th 0.421 0.421 0.421
Bi 0.587 0.587 0.587

Calculated values
mass density	10657	kg/m3
DFT formation energy	-13	kJ/mol of atoms
excess energy over the best structure of this formula in the dataset	185.3	meV per atom
energy	-20.8	eV/cell
spin magnetization	0.00	μB per atom


5.
First-principles (PBE-GGA) data for an optimized crystal structure of TmTh2Bi4, as listed in Alexandria.

Cell lengths 8.300, 8.300, 8.300 Å; angles 109.99, 109.99, 108.44 degrees
Fractional positions:
Tm 0.000 0.000 0.000
Tm 0.750 0.250 0.500
Th 0.255 0.625 0.130
Th 0.375 0.505 0.630
Th 0.495 0.125 0.870
Th 0.875 0.745 0.370
Bi 0.115 0.213 0.743
Bi 0.121 0.720 0.757
Bi 0.280 0.037 0.401
Bi 0.470 0.371 0.257
Bi 0.629 0.885 0.099
Bi 0.635 0.879 0.599
Bi 0.787 0.530 0.901
Bi 0.963 0.365 0.243

Calculated values
mass density	11085	kg/m3
DFT formation energy	-58	kJ/mol of atoms
energy	-78.1	eV/cell
spin magnetization	0.00	μB per atom


6.
First-principles (PBE-GGA) data for an optimized crystal structure of TmTh2Bi, as listed in Alexandria.

Cell lengths 12.654, 12.654, 12.654 Å; angles 15.89, 15.89, 15.89 degrees
Fractional positions:
Tm 0.000 0.000 0.000
Th 0.412 0.412 0.412
Th 0.588 0.588 0.588
Bi 0.500 0.500 0.500

Calculated values
mass density	10568	kg/m3
DFT formation energy	12	kJ/mol of atoms
excess energy over the best structure of this formula in the dataset	410.8	meV per atom
energy	-22.7	eV/cell
spin magnetization	0.00	μB per atom


7.
First-principles (PBE-GGA) data for an optimized crystal structure of Tm5Th3Bi8, as listed in Alexandria.

Cell lengths 8.986, 8.986, 8.986 Å; angles 60.12, 60.12, 60.12 degrees
Fractional positions:
Tm 0.000 0.000 0.000
Tm 0.000 0.500 0.500
Tm 0.500 0.000 0.500
Tm 0.500 0.500 0.000
Tm 0.500 0.500 0.500
Th 0.000 0.000 0.500
Th 0.000 0.500 0.000
Th 0.500 0.000 0.000
Bi 0.250 0.250 0.741
Bi 0.250 0.741 0.250
Bi 0.255 0.255 0.255
Bi 0.259 0.750 0.750
Bi 0.741 0.250 0.250
Bi 0.745 0.745 0.745
Bi 0.750 0.259 0.750
Bi 0.750 0.750 0.259

Calculated values
mass density	10367	kg/m3
DFT formation energy	-67	kJ/mol of atoms
energy	-86.8	eV/cell
spin magnetization	0.00	μB per atom


8.
First-principles (PBE-GGA) data for an optimized crystal structure of Tm3ThBi4, as listed in Alexandria.

Cell lengths 7.748, 7.748, 4.485 Å; angles 90.00, 90.00, 109.50 degrees
Fractional positions:
Tm 0.000 0.000 0.000
Tm 0.000 0.500 0.500
Tm 0.500 0.000 0.500
Th 0.500 0.500 0.000
Bi 0.241 0.241 0.500
Bi 0.246 0.754 0.000
Bi 0.754 0.246 0.000
Bi 0.759 0.759 0.500

Calculated values
mass density	10304	kg/m3
DFT formation energy	-70	kJ/mol of atoms
energy	-42.2	eV/cell
spin magnetization	0.00	μB per atom


9.
First-principles (PBE-GGA) data for an optimized crystal structure of Tm2ThBi, as listed in Alexandria.

Cell lengths 10.940, 10.940, 10.940 Å; angles 18.95, 18.95, 18.95 degrees
Fractional positions:
Tm 0.247 0.247 0.247
Tm 0.753 0.753 0.753
Th 0.000 0.000 0.000
Bi 0.500 0.500 0.500

Calculated values
mass density	10720	kg/m3
DFT formation energy	-19	kJ/mol of atoms
excess energy over the best structure of this formula in the dataset	120.6	meV per atom
energy	-21.0	eV/cell
spin magnetization	0.00	μB per atom


10.
First-principles (PBE-GGA) data for an optimized crystal structure of Tm3Th5Bi8, as listed in Alexandria.

Cell lengths 9.072, 9.072, 9.072 Å; angles 60.06, 60.06, 60.06 degrees
Fractional positions:
Tm 0.000 0.500 0.500
Tm 0.500 0.000 0.500
Tm 0.500 0.500 0.000
Th 0.000 0.000 0.000
Th 0.000 0.000 0.500
Th 0.000 0.500 0.000
Th 0.500 0.000 0.000
Th 0.500 0.500 0.500
Bi 0.250 0.250 0.741
Bi 0.250 0.741 0.250
Bi 0.254 0.254 0.254
Bi 0.259 0.750 0.750
Bi 0.741 0.250 0.250
Bi 0.746 0.746 0.746
Bi 0.750 0.259 0.750
Bi 0.750 0.750 0.259

Calculated values
mass density	10486	kg/m3
DFT formation energy	-61	kJ/mol of atoms
energy	-91.7	eV/cell
spin magnetization	0.00	μB per atom


11.
First-principles (PBE-GGA) data for an optimized crystal structure of Tm3ThBi3, as listed in Alexandria.

Cell lengths 8.194, 8.194, 8.194 Å; angles 68.02, 68.02, 68.02 degrees
Fractional positions:
Tm 0.161 0.683 0.423
Tm 0.317 0.577 0.839
Tm 0.423 0.161 0.683
Tm 0.577 0.839 0.317
Tm 0.683 0.423 0.161
Tm 0.839 0.317 0.577
Th 0.167 0.167 0.167
Th 0.833 0.833 0.833
Bi 0.027 0.412 0.795
Bi 0.205 0.973 0.588
Bi 0.412 0.795 0.027
Bi 0.588 0.205 0.973
Bi 0.795 0.027 0.412
Bi 0.973 0.588 0.205

Calculated values
mass density	9964	kg/m3
DFT formation energy	-48	kJ/mol of atoms
energy	-72.0	eV/cell
spin magnetization	0.00	μB per atom


12.
First-principles (PBE-GGA) data for an optimized crystal structure of TmThBi2, as listed in Alexandria.

Cell lengths 7.783, 7.783, 7.783 Å; angles 33.81, 33.81, 33.81 degrees
Fractional positions:
Tm 0.000 0.000 0.000
Th 0.500 0.500 0.500
Bi 0.255 0.255 0.255
Bi 0.745 0.745 0.745

Calculated values
mass density	10455	kg/m3
DFT formation energy	-64	kJ/mol of atoms
excess energy over the best structure of this formula in the dataset	0.0	meV per atom
energy	-22.3	eV/cell
spin magnetization	0.00	μB per atom